No. 1
The following is a DFT calculation (GGA-PBE) of a geometry-optimized PrInIr structure.

calculated volume: 28.1 A^3/atom
E: -15.41 eV for the cell shown

a b c (Å): 4.919 4.919 4.919
angles (deg): 60.00 60.00 60.00
Sites, in units of the cell vectors:
1 Pr 0.000 0.000 0.000
2 In 0.750 0.750 0.750
3 Ir 0.250 0.250 0.250



No. 2
The following is a DFT calculation (GGA-PBE) of a geometry-optimized PrIn2Ir2 structure.

calculated volume: 22.2 A^3/atom
E: -29.92 eV for the cell shown

a b c (Å): 6.615 6.615 6.615
angles (deg): 141.58 141.58 55.47
Sites, in units of the cell vectors:
1 Pr 0.000 0.000 0.000
2 In 0.250 0.750 0.500
3 In 0.750 0.250 0.500
4 Ir 0.395 0.395 0.000
5 Ir 0.605 0.605 0.000



No. 3
The following is a DFT calculation (GGA-PBE) of a geometry-optimized Pr2In8Ir structure.

calculated volume: 25.0 A^3/atom
E: -44.99 eV for the cell shown

a b c (Å): 4.712 4.712 12.373
angles (deg): 90.00 90.00 90.00
Sites, in units of the cell vectors:
1 Pr 0.000 0.000 0.194
2 Pr 0.000 0.000 0.806
3 In 0.000 0.500 0.000
4 In 0.000 0.500 0.380
5 In 0.000 0.500 0.620
6 In 0.500 0.000 0.000
7 In 0.500 0.000 0.380
8 In 0.500 0.000 0.620
9 In 0.500 0.500 0.193
10 In 0.500 0.500 0.807
11 Ir 0.000 0.000 0.500



Question: The lowest E belongs to which entry?
Answer: Pr2In8Ir